(1)
{"formula": "Al2SbAu2", "functional": "GGA-PBEsol", "state": "relaxed", "magmom_total_mub_per_cell": 0.000, "raw_formation_energy_ev_per_fu": -1.18, "lattice": [[-2.007, 2.007, 5.917], [2.007, -2.007, 5.917], [2.007, 2.007, -5.917]], "species": ["Al", "Al", "Sb", "Au", "Au"], "fractional_positions": [[0.250, 0.750, 0.500], [0.750, 0.250, 0.500], [0.000, 0.000, 0.000], [0.384, 0.384, 0.000], [0.616, 0.616, 0.000]]}

=====

(2)
{"formula": "Zr11VO24", "functional": "GGA-PBEsol", "state": "relaxed", "magmom_total_mub_per_cell": 1.000, "raw_formation_energy_ev_per_fu": -121.38, "lattice": [[6.710, 0.000, 0.000], [-3.187, 6.521, 0.000], [-0.267, -0.710, 9.446]], "species": ["Zr", "Zr", "Zr", "Zr", "Zr", "Zr", "Zr", "Zr", "Zr", "Zr", "Zr", "V", "O", "O", "O", "O", "O", "O", "O", "O", "O", "O", "O", "O", "O", "O", "O", "O", "O", "O", "O", "O", "O", "O", "O", "O"], "fractional_positions": [[0.000, 0.000, 0.000], [0.031, 0.546, 0.957], [0.136, 0.777, 0.646], [0.167, 0.318, 0.594], [0.327, 0.666, 0.336], [0.363, 0.211, 0.288], [0.472, 0.434, 0.973], [0.660, 0.329, 0.672], [0.695, 0.876, 0.626], [0.795, 0.108, 0.304], [0.836, 0.655, 0.263], [0.513, 0.971, 0.929], [0.027, 0.990, 0.224], [0.028, 0.476, 0.724], [0.050, 0.013, 0.621], [0.058, 0.702, 0.431], [0.107, 0.623, 0.169], [0.120, 0.311, 0.986], [0.130, 0.331, 0.369], [0.136, 0.840, 0.875], [0.365, 0.656, 0.562], [0.367, 0.136, 0.053], [0.392, 0.369, 0.763], [0.395, 0.695, 0.944], [0.437, 0.283, 0.502], [0.445, 0.974, 0.316], [0.467, 0.997, 0.715], [0.470, 0.508, 0.206], [0.693, 0.811, 0.390], [0.702, 0.321, 0.896], [0.713, 0.035, 0.088], [0.718, 0.348, 0.281], [0.765, 0.957, 0.840], [0.779, 0.640, 0.654], [0.799, 0.667, 0.036], [0.800, 0.172, 0.540]]}

=====

(3)
{"formula": "Ho2Mg", "functional": "GGA-PBEsol", "state": "relaxed", "magmom_total_mub_per_cell": 0.001, "delta_e_f_ev_per_fu": -0.1, "lattice": [[1.785, -8.497, 0.000], [1.785, 8.497, 0.000], [0.000, 0.000, 5.367]], "species": ["Ho", "Ho", "Ho", "Ho", "Mg", "Mg"], "fractional_positions": [[0.096, 0.904, 0.750], [0.227, 0.773, 0.250], [0.773, 0.227, 0.750], [0.904, 0.096, 0.250], [0.436, 0.564, 0.750], [0.564, 0.436, 0.250]]}

=====

(4)
{"formula": "IrPb", "functional": "GGA-PBEsol", "state": "relaxed", "magmom_total_mub_per_cell": 0.000, "delta_e_f_ev_per_fu": 1.0, "lattice": [[5.263, -1.478, 0.000], [5.263, 1.478, 0.000], [-1.476, 0.000, 5.030]], "species": ["Ir", "Ir", "Pb", "Pb"], "fractional_positions": [[0.162, 0.162, 0.335], [0.838, 0.838, 0.665], [0.402, 0.402, 0.187], [0.598, 0.598, 0.813]]}

=====

(5)
{"formula": "LiAl2Ag", "functional": "GGA-PBEsol", "state": "relaxed", "magmom_total_mub_per_cell": 0.000, "delta_e_f_ev_per_fu": -0.5, "lattice": [[4.561, -1.421, 0.000], [4.561, 1.421, 0.000], [-0.870, 0.000, 4.862]], "species": ["Li", "Al", "Al", "Ag"], "fractional_positions": [[0.000, 0.000, 0.000], [0.244, 0.244, 0.749], [0.756, 0.756, 0.251], [0.500, 0.500, 0.500]]}

=====

(6)
{"formula": "BiMoBr2", "functional": "GGA-PBEsol", "state": "relaxed", "magmom_total_mub_per_cell": 2.292, "raw_formation_energy_ev_per_fu": 3.06, "lattice": [[0.000, 3.522, 3.522], [3.522, 0.000, 3.522], [3.522, 3.522, 0.000]], "species": ["Bi", "Mo", "Br", "Br"], "fractional_positions": [[0.000, 0.000, 0.000], [0.500, 0.500, 0.500], [0.250, 0.250, 0.250], [0.750, 0.750, 0.750]]}

=====

(7)
{"formula": "V2MoOs", "functional": "GGA-PBEsol", "state": "relaxed", "magmom_total_mub_per_cell": 0.000, "delta_e_f_ev_per_fu": -1.2, "lattice": [[0.000, 3.008, 3.008], [3.008, 0.000, 3.008], [3.008, 3.008, 0.000]], "species": ["V", "V", "Mo", "Os"], "fractional_positions": [[0.250, 0.250, 0.250], [0.750, 0.750, 0.750], [0.000, 0.000, 0.000], [0.500, 0.500, 0.500]]}

=====

(8)
{"formula": "BeAlP2O", "functional": "GGA-PBEsol", "state": "relaxed", "magmom_total_mub_per_cell": 0.000, "raw_formation_energy_ev_per_fu": -1.03, "lattice": [[4.749, 0.000, 0.000], [0.000, 4.749, 0.000], [0.000, 0.000, 2.926]], "species": ["Be", "Al", "P", "P", "O"], "fractional_positions": [[0.000, 0.000, 0.000], [0.500, 0.500, 0.500], [0.000, 0.500, 0.000], [0.500, 0.000, 0.000], [0.000, 0.000, 0.500]]}

=====

(9)
{"formula": "Tl2RhPb", "functional": "GGA-PBEsol", "state": "relaxed", "magmom_total_mub_per_cell": 0.000, "delta_e_f_ev_per_fu": 1.2, "lattice": [[-2.324, 2.324, 4.163], [2.324, -2.324, 4.163], [2.324, 2.324, -4.163]], "species": ["Tl", "Tl", "Rh", "Pb"], "fractional_positions": [[0.000, 0.000, 0.000], [0.750, 0.250, 0.500], [0.500, 0.500, 0.000], [0.250, 0.750, 0.500]]}

=====

(10)
{"formula": "KTa2Cd", "functional": "GGA-PBEsol", "state": "relaxed", "magmom_total_mub_per_cell": 0.000, "delta_e_f_ev_per_fu": 5.3, "lattice": [[-2.015, 2.015, 5.354], [2.015, -2.015, 5.354], [2.015, 2.015, -5.354]], "species": ["K", "Ta", "Ta", "Cd"], "fractional_positions": [[0.000, 0.000, 0.000], [0.250, 0.750, 0.500], [0.750, 0.250, 0.500], [0.500, 0.500, 0.000]]}

=====

(11)
{"formula": "LiSmGe", "functional": "GGA-PBEsol", "state": "relaxed", "magmom_total_mub_per_cell": 0.000, "delta_e_f_ev_per_fu": -2.2, "lattice": [[7.102, 0.000, 0.000], [-3.551, 6.150, 0.000], [0.000, 0.000, 4.286]], "species": ["Li", "Li", "Li", "Sm", "Sm", "Sm", "Ge", "Ge", "Ge"], "fractional_positions": [[0.000, 0.233, 0.000], [0.233, 0.000, 0.000], [0.767, 0.767, 0.000], [0.000, 0.577, 0.500], [0.423, 0.423, 0.500], [0.577, 0.000, 0.500], [0.000, 0.000, 0.500], [0.333, 0.667, 0.000], [0.667, 0.333, 0.000]]}

=====

(12)
{"formula": "IrRh3", "functional": "GGA-PBEsol", "state": "relaxed", "magmom_total_mub_per_cell": 0.001, "delta_e_f_ev_per_fu": 0.0, "lattice": [[4.643, 0.000, 0.000], [0.000, 8.748, 0.000], [0.000, 0.000, 5.366]], "species": ["Ir", "Ir", "Ir", "Ir", "Rh", "Rh", "Rh", "Rh", "Rh", "Rh", "Rh", "Rh", "Rh", "Rh", "Rh", "Rh"], "fractional_positions": [[0.083, 0.250, 0.126], [0.417, 0.750, 0.626], [0.583, 0.250, 0.374], [0.917, 0.750, 0.874], [0.084, 0.250, 0.625], [0.248, 0.000, 0.875], [0.248, 0.500, 0.875], [0.252, 0.000, 0.375], [0.252, 0.500, 0.375], [0.416, 0.750, 0.125], [0.584, 0.250, 0.875], [0.748, 0.000, 0.625], [0.748, 0.500, 0.625], [0.752, 0.000, 0.125], [0.752, 0.500, 0.125], [0.916, 0.750, 0.375]]}

=====

(13)
{"formula": "MgTl3Tc", "functional": "GGA-PBEsol", "state": "relaxed", "magmom_total_mub_per_cell": 3.945, "delta_e_f_ev_per_fu": 6.4, "lattice": [[5.256, 0.000, 0.000], [0.000, 5.256, 0.000], [0.000, 0.000, 5.256]], "species": ["Mg", "Tl", "Tl", "Tl", "Tc"], "fractional_positions": [[0.000, 0.000, 0.000], [0.000, 0.000, 0.500], [0.000, 0.500, 0.000], [0.500, 0.000, 0.000], [0.500, 0.500, 0.500]]}

=====

(14)
{"formula": "Rb3OF", "functional": "GGA-PBEsol", "state": "relaxed", "magmom_total_mub_per_cell": 0.001, "raw_formation_energy_ev_per_fu": -7.08, "lattice": [[5.339, 0.000, 0.000], [0.000, 5.339, 0.000], [0.000, 0.000, 5.339]], "species": ["Rb", "Rb", "Rb", "O", "F"], "fractional_positions": [[0.000, 0.000, 0.500], [0.000, 0.500, 0.000], [0.500, 0.000, 0.000], [0.000, 0.000, 0.000], [0.500, 0.500, 0.500]]}

=====

(15)
{"formula": "AlTl2Zn", "functional": "GGA-PBEsol", "state": "relaxed", "magmom_total_mub_per_cell": 0.000, "delta_e_f_ev_per_fu": 1.0, "lattice": [[3.255, 0.000, 0.000], [0.000, 3.255, 0.000], [0.000, 0.000, 8.386]], "species": ["Al", "Tl", "Tl", "Zn"], "fractional_positions": [[0.000, 0.000, 0.000], [0.500, 0.500, 0.259], [0.500, 0.500, 0.741], [0.000, 0.000, 0.500]]}

=====

(16)
{"formula": "YInTc2", "functional": "GGA-PBEsol", "state": "relaxed", "magmom_total_mub_per_cell": 0.000, "delta_e_f_ev_per_fu": 1.0, "lattice": [[0.000, 3.300, 3.300], [3.300, 0.000, 3.300], [3.300, 3.300, 0.000]], "species": ["Y", "In", "Tc", "Tc"], "fractional_positions": [[0.000, 0.000, 0.000], [0.750, 0.750, 0.750], [0.250, 0.250, 0.250], [0.500, 0.500, 0.500]]}

=====

(17)
{"formula": "RbCrCl3", "functional": "GGA-PBEsol", "state": "relaxed", "magmom_total_mub_per_cell": 4.000, "raw_formation_energy_ev_per_fu": -6.78, "lattice": [[4.901, 0.000, 0.000], [0.000, 4.901, 0.000], [0.000, 0.000, 4.901]], "species": ["Rb", "Cr", "Cl", "Cl", "Cl"], "fractional_positions": [[0.000, 0.000, 0.000], [0.500, 0.500, 0.500], [0.000, 0.500, 0.500], [0.500, 0.000, 0.500], [0.500, 0.500, 0.000]]}

=====

(18)
{"formula": "CaCuHg", "functional": "GGA-PBEsol", "state": "relaxed", "magmom_total_mub_per_cell": 0.000, "delta_e_f_ev_per_fu": -0.9, "lattice": [[4.526, 0.000, 0.000], [-2.263, 3.919, 0.000], [0.000, 0.000, 3.679]], "species": ["Ca", "Cu", "Hg"], "fractional_positions": [[0.000, 0.000, 0.000], [0.333, 0.667, 0.500], [0.667, 0.333, 0.500]]}

=====

(19)
{"formula": "Ba4La2Ti3Nb2O18", "functional": "GGA-PBEsol", "state": "relaxed", "magmom_total_mub_per_cell": 0.000, "raw_formation_energy_ev_per_fu": -89.42, "lattice": [[2.828, 1.633, 13.805], [-2.828, 1.633, 13.805], [0.000, -3.266, 13.805]], "species": ["Ba", "Ba", "Ba", "Ba", "La", "La", "Ti", "Ti", "Ti", "Nb", "Nb", "O", "O", "O", "O", "O", "O", "O", "O", "O", "O", "O", "O", "O", "O", "O", "O", "O", "O"], "fractional_positions": [[0.140, 0.140, 0.140], [0.312, 0.312, 0.312], [0.688, 0.688, 0.688], [0.860, 0.860, 0.860], [0.414, 0.414, 0.414], [0.586, 0.586, 0.586], [0.222, 0.222, 0.222], [0.500, 0.500, 0.500], [0.778, 0.778, 0.778], [0.053, 0.053, 0.053], [0.947, 0.947, 0.947], [0.083, 0.083, 0.577], [0.083, 0.577, 0.083], [0.146, 0.635, 0.635], [0.206, 0.206, 0.686], [0.206, 0.686, 0.206], [0.314, 0.794, 0.794], [0.365, 0.365, 0.854], [0.365, 0.854, 0.365], [0.423, 0.917, 0.917], [0.577, 0.083, 0.083], [0.635, 0.146, 0.635], [0.635, 0.635, 0.146], [0.686, 0.206, 0.206], [0.794, 0.314, 0.794], [0.794, 0.794, 0.314], [0.854, 0.365, 0.365], [0.917, 0.423, 0.917], [0.917, 0.917, 0.423]]}

=====

(20)
{"formula": "LiSbO3", "functional": "GGA-PBEsol", "state": "relaxed", "magmom_total_mub_per_cell": 0.000, "raw_formation_energy_ev_per_fu": -8.68, "lattice": [[5.215, 0.000, 0.000], [0.000, 4.910, 0.000], [0.000, 0.000, 8.516]], "species": ["Li", "Li", "Li", "Li", "Sb", "Sb", "Sb", "Sb", "O", "O", "O", "O", "O", "O", "O", "O", "O", "O", "O", "O"], "fractional_positions": [[0.250, 0.000, 0.195], [0.250, 0.500, 0.305], [0.750, 0.000, 0.805], [0.750, 0.500, 0.695], [0.250, 0.000, 0.594], [0.250, 0.500, 0.906], [0.750, 0.000, 0.406], [0.750, 0.500, 0.094], [0.076, 0.208, 0.418], [0.076, 0.292, 0.082], [0.088, 0.250, 0.750], [0.412, 0.750, 0.750], [0.424, 0.708, 0.082], [0.424, 0.792, 0.418], [0.576, 0.208, 0.582], [0.576, 0.292, 0.918], [0.588, 0.250, 0.250], [0.912, 0.750, 0.250], [0.924, 0.708, 0.918], [0.924, 0.792, 0.582]]}